Record 1
Material: VNi5P
Method: DFT, PBE-GGA
State: optimized geometry

Volume, A^3/atom: 12.26
Mass density, g/cm3: 7.3
Calculated total energy, eV/atom: -6.23
Total magnetic moment, μB per formula unit: 0.89
Density of states at the Fermi level, states/eV/atom: 1.14

```
data_VNi5P
_chemical_formula_sum 'V2 Ni10 P2'
_space_group_name_H-M_alt 'P 1'
_space_group_IT_number 1
_space_group_name_Hall 'P 1'
_cell_length_a 4.8912
_cell_length_b 4.8912
_cell_length_c 8.4822
_cell_angle_alpha 111.94
_cell_angle_beta 111.94
_cell_angle_gamma 72.64
loop_
_atom_site_label
_atom_site_type_symbol
_atom_site_fract_x
_atom_site_fract_y
_atom_site_fract_z
V1 V 0.1664 0.8336 0.7500
V2 V 0.8336 0.1664 0.2500
Ni1 Ni 0.0194 0.7545 0.0055
Ni2 Ni 0.1266 0.3313 0.7598
Ni3 Ni 0.2455 0.9806 0.4945
Ni4 Ni 0.3313 0.1266 0.2598
Ni5 Ni 0.4041 0.5959 0.2500
Ni6 Ni 0.5959 0.4041 0.7500
Ni7 Ni 0.6687 0.8734 0.7402
Ni8 Ni 0.7545 0.0194 0.5055
Ni9 Ni 0.8734 0.6687 0.2402
Ni10 Ni 0.9806 0.2455 0.9945
P1 P 0.5000 0.5000 0.0000
P2 P 0.5000 0.5000 0.5000
```


Record 2
Material: VNi2P
Method: DFT, PBE-GGA
State: optimized geometry

Volume, A^3/atom: 11.41
Mass density, g/cm3: 7.3
Calculated total energy, eV/atom: -6.88
Total magnetic moment, μB per formula unit: 0.00
Density of states at the Fermi level, states/eV/atom: 0.74

```
data_VNi2P
_chemical_formula_sum 'V1 Ni2 P1'
_space_group_name_H-M_alt 'P 1'
_space_group_IT_number 1
_space_group_name_Hall 'P 1'
_cell_length_a 3.4725
_cell_length_b 3.4725
_cell_length_c 3.7835
_cell_angle_alpha 90.00
_cell_angle_beta 90.00
_cell_angle_gamma 90.00
loop_
_atom_site_label
_atom_site_type_symbol
_atom_site_fract_x
_atom_site_fract_y
_atom_site_fract_z
V1 V 0.0000 0.0000 0.0000
Ni1 Ni 0.0000 0.5000 0.5000
Ni2 Ni 0.5000 0.0000 0.5000
P1 P 0.5000 0.5000 0.0000
```


Record 3
Material: V3NiP2
Method: DFT, PBE-GGA
State: optimized geometry

Volume, A^3/atom: 12.21
Mass density, g/cm3: 6.2
Calculated total energy, eV/atom: -8.09
Total magnetic moment, μB per formula unit: 0.00
Density of states at the Fermi level, states/eV/atom: 0.79

```
data_V3NiP2
_chemical_formula_sum 'V9 Ni3 P6'
_space_group_name_H-M_alt 'P 1'
_space_group_IT_number 1
_space_group_name_Hall 'P 1'
_cell_length_a 6.1642
_cell_length_b 3.3254
_cell_length_c 10.7255
_cell_angle_alpha 90.00
_cell_angle_beta 90.21
_cell_angle_gamma 90.00
loop_
_atom_site_label
_atom_site_type_symbol
_atom_site_fract_x
_atom_site_fract_y
_atom_site_fract_z
V1 V 0.0000 0.0000 0.0000
V2 V 0.0005 0.0000 0.4229
V3 V 0.0876 0.0000 0.7145
V4 V 0.3189 0.5000 0.3431
V5 V 0.3225 0.5000 0.0878
V6 V 0.4882 0.0000 0.5073
V7 V 0.5040 0.0000 0.9228
V8 V 0.5879 0.0000 0.2175
V9 V 0.8200 0.5000 0.8355
Ni1 Ni 0.4332 0.5000 0.7171
Ni2 Ni 0.8272 0.5000 0.5867
Ni3 Ni 0.9331 0.5000 0.2161
P1 P 0.1728 0.0000 0.2149
P2 P 0.1959 0.5000 0.5540
P3 P 0.2028 0.5000 0.8765
P4 P 0.6796 0.0000 0.7017
P5 P 0.7023 0.5000 0.3845
P6 P 0.7035 0.5000 0.0520
```


Record 4
Material: VNi2P2
Method: DFT, PBE-GGA
State: optimized geometry

Volume, A^3/atom: 11.84
Mass density, g/cm3: 6.5
Calculated total energy, eV/atom: -6.66
Total magnetic moment, μB per formula unit: 0.00
Density of states at the Fermi level, states/eV/atom: 0.50

```
data_VNi2P2
_chemical_formula_sum 'V2 Ni4 P4'
_space_group_name_H-M_alt 'P 1'
_space_group_IT_number 1
_space_group_name_Hall 'P 1'
_cell_length_a 6.5679
_cell_length_b 6.5679
_cell_length_c 2.7454
_cell_angle_alpha 90.00
_cell_angle_beta 90.00
_cell_angle_gamma 90.00
loop_
_atom_site_label
_atom_site_type_symbol
_atom_site_fract_x
_atom_site_fract_y
_atom_site_fract_z
V1 V 0.0000 0.0000 0.0000
V2 V 0.5000 0.5000 0.0000
Ni1 Ni 0.1373 0.3627 0.5000
Ni2 Ni 0.3627 0.8627 0.5000
Ni3 Ni 0.6373 0.1373 0.5000
Ni4 Ni 0.8627 0.6373 0.5000
P1 P 0.1616 0.6616 0.0000
P2 P 0.3384 0.1616 0.0000
P3 P 0.6616 0.8384 0.0000
P4 P 0.8384 0.3384 0.0000
```


Record 5
Material: V2NiPW
Method: DFT, PBE-GGA
State: optimized geometry

Volume, A^3/atom: 20.04
Mass density, g/cm3: 6.2
Calculated total energy, eV/atom: -7.07
Total magnetic moment, μB per formula unit: 2.91
Density of states at the Fermi level, states/eV/atom: 1.32

```
data_V2NiPW
_chemical_formula_sum 'V2 Ni1 P1 W1'
_space_group_name_H-M_alt 'P 1'
_space_group_IT_number 1
_space_group_name_Hall 'P 1'
_cell_length_a 4.7044
_cell_length_b 4.7044
_cell_length_c 4.5284
_cell_angle_alpha 90.00
_cell_angle_beta 90.00
_cell_angle_gamma 90.00
loop_
_atom_site_label
_atom_site_type_symbol
_atom_site_fract_x
_atom_site_fract_y
_atom_site_fract_z
V1 V 0.0000 0.5000 0.0000
V2 V 0.5000 0.0000 0.0000
Ni1 Ni 0.0000 0.0000 0.5000
P1 P 0.5000 0.5000 0.5000
W1 W 0.5000 0.5000 0.0000
```


Record 6
Material: YVNi2P
Method: DFT, PBE-GGA
State: optimized geometry

Volume, A^3/atom: 21.86
Mass density, g/cm3: 4.4
Calculated total energy, eV/atom: -4.79
Total magnetic moment, μB per formula unit: 3.24
Density of states at the Fermi level, states/eV/atom: 0.51

```
data_YVNi2P
_chemical_formula_sum 'Y1 V1 Ni2 P1'
_space_group_name_H-M_alt 'P 1'
_space_group_IT_number 1
_space_group_name_Hall 'P 1'
_cell_length_a 4.5607
_cell_length_b 4.5607
_cell_length_c 5.2542
_cell_angle_alpha 90.00
_cell_angle_beta 90.00
_cell_angle_gamma 90.00
loop_
_atom_site_label
_atom_site_type_symbol
_atom_site_fract_x
_atom_site_fract_y
_atom_site_fract_z
Y1 Y 0.0000 0.0000 0.0000
V1 V 0.0000 0.0000 0.5000
Ni1 Ni 0.0000 0.5000 0.0000
Ni2 Ni 0.5000 0.0000 0.0000
P1 P 0.5000 0.5000 0.5000
```


Record 7
Material: NiP2W
Method: DFT, PBE-GGA
State: optimized geometry

Volume, A^3/atom: 12.98
Mass density, g/cm3: 9.7
Calculated total energy, eV/atom: -7.37
Total magnetic moment, μB per formula unit: 0.00
Density of states at the Fermi level, states/eV/atom: 0.49

```
data_NiP2W
_chemical_formula_sum 'Ni2 P4 W2'
_space_group_name_H-M_alt 'P 1'
_space_group_IT_number 1
_space_group_name_Hall 'P 1'
_cell_length_a 3.2933
_cell_length_b 4.4049
_cell_length_c 7.1599
_cell_angle_alpha 90.00
_cell_angle_beta 90.00
_cell_angle_gamma 90.00
loop_
_atom_site_label
_atom_site_type_symbol
_atom_site_fract_x
_atom_site_fract_y
_atom_site_fract_z
Ni1 Ni 0.0000 0.0000 0.0000
Ni2 Ni 0.5000 0.5000 0.5000
P1 P 0.0000 0.5000 0.2826
P2 P 0.0000 0.5000 0.7174
P3 P 0.5000 0.0000 0.2174
P4 P 0.5000 0.0000 0.7826
W1 W 0.0000 0.0000 0.5000
W2 W 0.5000 0.5000 0.0000
```


Record 8
Material: Ni2PW
Method: DFT, PBE-GGA
State: optimized geometry

Volume, A^3/atom: 12.64
Mass density, g/cm3: 10.9
Calculated total energy, eV/atom: -7.65
Total magnetic moment, μB per formula unit: 0.00
Density of states at the Fermi level, states/eV/atom: 0.56

```
data_Ni2PW
_chemical_formula_sum 'Ni4 P2 W2'
_space_group_name_H-M_alt 'P 1'
_space_group_IT_number 1
_space_group_name_Hall 'P 1'
_cell_length_a 3.3840
_cell_length_b 3.0127
_cell_length_c 9.9178
_cell_angle_alpha 90.00
_cell_angle_beta 90.00
_cell_angle_gamma 90.00
loop_
_atom_site_label
_atom_site_type_symbol
_atom_site_fract_x
_atom_site_fract_y
_atom_site_fract_z
Ni1 Ni 0.0000 0.0000 0.0000
Ni2 Ni 0.0000 0.5000 0.5000
Ni3 Ni 0.5000 0.0000 0.3851
Ni4 Ni 0.5000 0.5000 0.8851
P1 P 0.5000 0.0000 0.1359
P2 P 0.5000 0.5000 0.6359
W1 W 0.0000 0.0000 0.7392
W2 W 0.0000 0.5000 0.2392
```


Record 9
Material: Ni2PW
Method: DFT, PBE-GGA
State: optimized geometry

Volume, A^3/atom: 12.30
Mass density, g/cm3: 11.2
Calculated total energy, eV/atom: -7.53
Total magnetic moment, μB per formula unit: 0.00
Density of states at the Fermi level, states/eV/atom: 0.83

```
data_Ni2PW
_chemical_formula_sum 'Ni8 P4 W4'
_space_group_name_H-M_alt 'P 1'
_space_group_IT_number 1
_space_group_name_Hall 'P 1'
_cell_length_a 5.8172
_cell_length_b 5.8172
_cell_length_c 5.8172
_cell_angle_alpha 90.00
_cell_angle_beta 90.00
_cell_angle_gamma 90.00
loop_
_atom_site_label
_atom_site_type_symbol
_atom_site_fract_x
_atom_site_fract_y
_atom_site_fract_z
Ni1 Ni 0.0000 0.0000 0.0000
Ni2 Ni 0.0000 0.5000 0.5000
Ni3 Ni 0.2500 0.2500 0.2500
Ni4 Ni 0.2500 0.7500 0.7500
Ni5 Ni 0.5000 0.0000 0.5000
Ni6 Ni 0.5000 0.5000 0.0000
Ni7 Ni 0.7500 0.2500 0.7500
Ni8 Ni 0.7500 0.7500 0.2500
P1 P 0.2500 0.2500 0.7500
P2 P 0.2500 0.7500 0.2500
P3 P 0.7500 0.2500 0.2500
P4 P 0.7500 0.7500 0.7500
W1 W 0.0000 0.0000 0.5000
W2 W 0.0000 0.5000 0.0000
W3 W 0.5000 0.0000 0.0000
W4 W 0.5000 0.5000 0.5000
```


Record 10
Material: NiP2W
Method: DFT, PBE-GGA
State: optimized geometry

Volume, A^3/atom: 13.84
Mass density, g/cm3: 9.1
Calculated total energy, eV/atom: -7.18
Total magnetic moment, μB per formula unit: 0.00
Density of states at the Fermi level, states/eV/atom: 0.48

```
data_NiP2W
_chemical_formula_sum 'Ni2 P4 W2'
_space_group_name_H-M_alt 'P 1'
_space_group_IT_number 1
_space_group_name_Hall 'P 1'
_cell_length_a 5.6474
_cell_length_b 7.7891
_cell_length_c 2.8660
_cell_angle_alpha 90.00
_cell_angle_beta 118.59
_cell_angle_gamma 90.00
loop_
_atom_site_label
_atom_site_type_symbol
_atom_site_fract_x
_atom_site_fract_y
_atom_site_fract_z
Ni1 Ni 0.0000 0.0000 0.0000
Ni2 Ni 0.5000 0.5000 0.0000
P1 P 0.2500 0.2500 0.0000
P2 P 0.2500 0.7500 0.0000
P3 P 0.7500 0.2500 0.0000
P4 P 0.7500 0.7500 0.0000
W1 W 0.0000 0.5000 0.0000
W2 W 0.5000 0.0000 0.0000
```


Record 11
Material: NiP2W
Method: DFT, PBE-GGA
State: optimized geometry

Volume, A^3/atom: 15.35
Mass density, g/cm3: 8.2
Calculated total energy, eV/atom: -7.61
Total magnetic moment, μB per formula unit: 0.00
Density of states at the Fermi level, states/eV/atom: 0.34

```
data_NiP2W
_chemical_formula_sum 'Ni2 P4 W2'
_space_group_name_H-M_alt 'P 1'
_space_group_IT_number 1
_space_group_name_Hall 'P 1'
_cell_length_a 4.3927
_cell_length_b 3.5041
_cell_length_c 7.9761
_cell_angle_alpha 90.00
_cell_angle_beta 90.00
_cell_angle_gamma 90.00
loop_
_atom_site_label
_atom_site_type_symbol
_atom_site_fract_x
_atom_site_fract_y
_atom_site_fract_z
Ni1 Ni 0.0000 0.0000 0.0000
Ni2 Ni 0.0000 0.5000 0.5000
P1 P 0.0000 0.0000 0.6902
P2 P 0.0000 0.5000 0.1902
P3 P 0.5000 0.0000 0.8729
P4 P 0.5000 0.5000 0.3729
W1 W 0.5000 0.0000 0.5666
W2 W 0.5000 0.5000 0.0666
```


Record 12
Material: NiP2W
Method: DFT, PBE-GGA
State: optimized geometry

Volume, A^3/atom: 13.11
Mass density, g/cm3: 9.6
Calculated total energy, eV/atom: -7.31
Total magnetic moment, μB per formula unit: 0.00
Density of states at the Fermi level, states/eV/atom: 1.58

```
data_NiP2W
_chemical_formula_sum 'Ni4 P8 W4'
_space_group_name_H-M_alt 'P 1'
_space_group_IT_number 1
_space_group_name_Hall 'P 1'
_cell_length_a 5.9414
_cell_length_b 5.9414
_cell_length_c 5.9414
_cell_angle_alpha 90.00
_cell_angle_beta 90.00
_cell_angle_gamma 90.00
loop_
_atom_site_label
_atom_site_type_symbol
_atom_site_fract_x
_atom_site_fract_y
_atom_site_fract_z
Ni1 Ni 0.0000 0.0000 0.0000
Ni2 Ni 0.0000 0.5000 0.5000
Ni3 Ni 0.5000 0.0000 0.5000
Ni4 Ni 0.5000 0.5000 0.0000
P1 P 0.2500 0.2500 0.2500
P2 P 0.2500 0.2500 0.7500
P3 P 0.2500 0.7500 0.2500
P4 P 0.2500 0.7500 0.7500
P5 P 0.7500 0.2500 0.2500
P6 P 0.7500 0.2500 0.7500
P7 P 0.7500 0.7500 0.2500
P8 P 0.7500 0.7500 0.7500
W1 W 0.0000 0.0000 0.5000
W2 W 0.0000 0.5000 0.0000
W3 W 0.5000 0.0000 0.0000
W4 W 0.5000 0.5000 0.5000
```